Record 1
{
  "formula": "TlTe2Pd3",
  "functional": "PBE",
  "state": "relaxed",
  "formation_energy_uncorrected_mev_per_atom": -262,
  "sg": "Pmmn (59)",
  "de_polymorph_mev_per_atom": 22,
  "magnetic_moment_mub_per_atom": 0.000,
  "lattice_angstrom": [[4.128, 0.000, 0.000], [0.000, 17.372, 0.000], [0.000, 0.000, 4.129]],
  "species": ["Tl", "Tl", "Te", "Te", "Te", "Te", "Pd", "Pd", "Pd", "Pd", "Pd", "Pd"],
  "frac_coords": [[0.250, 0.250, 0.249], [0.750, 0.750, 0.751], [0.250, 0.599, 0.250], [0.250, 0.901, 0.250], [0.750, 0.099, 0.750], [0.750, 0.401, 0.750], [0.250, 0.000, 0.750], [0.250, 0.500, 0.750], [0.250, 0.750, 0.251], [0.750, 0.000, 0.250], [0.750, 0.250, 0.749], [0.750, 0.500, 0.250]]
}

Record 2
{
  "formula": "TaMnGe2",
  "functional": "PBE",
  "state": "relaxed",
  "sg": "R-3m (166)",
  "magnetic_moment_mub_per_atom": 0.588,
  "delta_e_f_ev_per_atom": 0.1020,
  "lattice_angstrom": [[2.062, 1.191, 4.224], [-2.062, 1.191, 4.224], [0.000, -2.381, 4.224]],
  "species": ["Ta", "Mn", "Ge", "Ge"],
  "frac_coords": [[0.000, 0.000, 0.000], [0.500, 0.500, 0.500], [0.233, 0.233, 0.233], [0.767, 0.767, 0.767]]
}

Record 3
{
  "formula": "CsSmMn2Te4",
  "functional": "PBE",
  "state": "relaxed",
  "formation_energy_uncorrected_mev_per_atom": -323,
  "sg": "I222 (23)",
  "magnetic_moment_mub_per_atom": 0.499,
  "lattice_angstrom": [[-3.660, 4.693, 4.943], [3.660, -4.693, 4.943], [3.660, 4.693, -4.943]],
  "species": ["Cs", "Sm", "Mn", "Mn", "Te", "Te", "Te", "Te"],
  "frac_coords": [[0.000, 0.000, 0.000], [0.500, 0.500, 0.000], [0.402, 0.902, 0.500], [0.598, 0.098, 0.500], [0.152, 0.066, 0.570], [0.496, 0.582, 0.430], [0.504, 0.934, 0.086], [0.848, 0.418, 0.914]]
}

Record 4
{
  "formula": "Ba8Rh3Cl",
  "functional": "PBE",
  "state": "relaxed",
  "formation_energy_uncorrected_mev_per_atom": -457,
  "sg": "C2/m (12)",
  "magnetic_moment_mub_per_atom": 0.060,
  "lattice_angstrom": [[7.817, -4.608, 0.000], [7.817, 4.608, 0.000], [-5.125, 0.000, 7.505]],
  "species": ["Ba", "Ba", "Ba", "Ba", "Ba", "Ba", "Ba", "Ba", "Rh", "Rh", "Rh", "Cl"],
  "frac_coords": [[0.225, 0.752, 0.749], [0.245, 0.245, 0.256], [0.248, 0.248, 0.724], [0.248, 0.775, 0.251], [0.752, 0.225, 0.749], [0.752, 0.752, 0.276], [0.755, 0.755, 0.744], [0.775, 0.248, 0.251], [0.000, 0.000, 0.000], [0.000, 0.500, 0.500], [0.500, 0.000, 0.500], [0.500, 0.500, 0.000]]
}

Record 5
{
  "formula": "TaNbNiAs2",
  "functional": "PBE",
  "state": "relaxed",
  "sg": "P4/mmm (123)",
  "magnetic_moment_mub_per_atom": 0.000,
  "delta_e_f_ev_per_atom": 0.7960,
  "lattice_angstrom": [[4.488, 0.000, 0.000], [0.000, 4.488, 0.000], [0.000, 0.000, 4.626]],
  "species": ["Ta", "Nb", "Ni", "As", "As"],
  "frac_coords": [[0.000, 0.000, 0.000], [0.500, 0.500, 0.000], [0.500, 0.500, 0.500], [0.000, 0.500, 0.500], [0.500, 0.000, 0.500]]
}

Record 6
{
  "formula": "YCu2Re2",
  "functional": "PBE",
  "state": "relaxed",
  "sg": "P4/mbm (127)",
  "de_polymorph_mev_per_atom": 4,
  "magnetic_moment_mub_per_atom": 0.000,
  "delta_e_f_ev_per_atom": 0.3460,
  "lattice_angstrom": [[7.746, 0.000, 0.000], [0.000, 7.746, 0.000], [0.000, 0.000, 2.711]],
  "species": ["Y", "Y", "Cu", "Cu", "Cu", "Cu", "Re", "Re", "Re", "Re"],
  "frac_coords": [[0.000, 0.000, 0.000], [0.500, 0.500, 0.000], [0.180, 0.320, 0.500], [0.320, 0.820, 0.500], [0.680, 0.180, 0.500], [0.820, 0.680, 0.500], [0.114, 0.614, 0.000], [0.386, 0.114, 0.000], [0.614, 0.886, 0.000], [0.886, 0.386, 0.000]]
}

Record 7
{
  "formula": "KAl4Zn9",
  "functional": "PBE",
  "state": "relaxed",
  "sg": "I4/mcm (140)",
  "magnetic_moment_mub_per_atom": 0.000,
  "delta_e_f_ev_per_atom": -0.0211,
  "lattice_angstrom": [[-4.493, 4.493, 6.109], [4.493, -4.493, 6.109], [4.493, 4.493, -6.109]],
  "species": ["K", "K", "Al", "Al", "Al", "Al", "Al", "Al", "Al", "Al", "Zn", "Zn", "Zn", "Zn", "Zn", "Zn", "Zn", "Zn", "Zn", "Zn", "Zn", "Zn", "Zn", "Zn", "Zn", "Zn", "Zn", "Zn"],
  "frac_coords": [[0.250, 0.250, 0.000], [0.750, 0.750, 0.000], [0.060, 0.560, 0.861], [0.200, 0.060, 0.500], [0.300, 0.800, 0.861], [0.440, 0.300, 0.500], [0.560, 0.700, 0.500], [0.700, 0.200, 0.139], [0.800, 0.940, 0.500], [0.940, 0.440, 0.139], [0.000, 0.500, 0.500], [0.053, 0.199, 0.252], [0.057, 0.795, 0.500], [0.199, 0.947, 0.146], [0.205, 0.705, 0.262], [0.295, 0.557, 0.500], [0.301, 0.447, 0.748], [0.443, 0.943, 0.738], [0.447, 0.699, 0.146], [0.500, 0.000, 0.500], [0.553, 0.301, 0.854], [0.557, 0.057, 0.262], [0.699, 0.553, 0.252], [0.705, 0.443, 0.500], [0.795, 0.295, 0.738], [0.801, 0.053, 0.854], [0.943, 0.205, 0.500], [0.947, 0.801, 0.748]]
}

Record 8
{
  "formula": "AlZnW2",
  "functional": "PBE",
  "state": "relaxed",
  "sg": "P4mm (99)",
  "de_polymorph_mev_per_atom": 47,
  "magnetic_moment_mub_per_atom": 0.000,
  "delta_e_f_ev_per_atom": 0.1100,
  "lattice_angstrom": [[3.287, 0.000, 0.000], [0.000, 3.287, 0.000], [0.000, 0.000, 5.799]],
  "species": ["Al", "Zn", "W", "W"],
  "frac_coords": [[0.000, 0.000, 0.000], [0.500, 0.500, 0.773], [0.000, 0.000, 0.496], [0.500, 0.500, 0.276]]
}

Record 9
{
  "formula": "TbCe2Nd3Sm6",
  "functional": "PBE",
  "state": "relaxed",
  "sg": "C2/m (12)",
  "magnetic_moment_mub_per_atom": 0.177,
  "delta_e_f_ev_per_atom": 0.0519,
  "lattice_angstrom": [[3.131, -5.426, 0.000], [3.131, 5.426, 0.000], [-2.101, 0.000, 11.816]],
  "species": ["Tb", "Ce", "Ce", "Nd", "Nd", "Nd", "Sm", "Sm", "Sm", "Sm", "Sm", "Sm"],
  "frac_coords": [[0.000, 0.000, 0.000], [0.333, 0.667, 0.000], [0.667, 0.333, 0.000], [0.166, 0.834, 0.500], [0.500, 0.500, 0.500], [0.834, 0.166, 0.500], [0.082, 0.418, 0.245], [0.254, 0.254, 0.754], [0.418, 0.082, 0.245], [0.582, 0.918, 0.755], [0.746, 0.746, 0.246], [0.918, 0.582, 0.755]]
}

Record 10
{
  "formula": "BiAu5S4",
  "functional": "PBE",
  "state": "relaxed",
  "formation_energy_uncorrected_mev_per_atom": -49,
  "sg": "P-1 (2)",
  "magnetic_moment_mub_per_atom": 0.000,
  "lattice_angstrom": [[4.414, 0.000, 0.000], [-0.169, 7.699, 0.000], [-1.090, -2.687, 7.243]],
  "species": ["Bi", "Au", "Au", "Au", "Au", "Au", "S", "S", "S", "S"],
  "frac_coords": [[0.000, 0.000, 0.000], [0.000, 0.500, 0.000], [0.226, 0.792, 0.482], [0.412, 0.483, 0.747], [0.588, 0.517, 0.253], [0.774, 0.208, 0.518], [0.116, 0.221, 0.779], [0.450, 0.796, 0.771], [0.550, 0.204, 0.229], [0.884, 0.779, 0.221]]
}

Record 11
{
  "formula": "SrAcInPd",
  "functional": "PBE",
  "state": "relaxed",
  "sg": "F-43m (216)",
  "magnetic_moment_mub_per_atom": 0.000,
  "delta_e_f_ev_per_atom": -0.4458,
  "lattice_angstrom": [[0.000, 3.938, 3.938], [3.938, 0.000, 3.938], [3.938, 3.938, 0.000]],
  "species": ["Sr", "Ac", "In", "Pd"],
  "frac_coords": [[0.000, 0.000, 0.000], [0.500, 0.500, 0.500], [0.750, 0.750, 0.750], [0.250, 0.250, 0.250]]
}

Record 12
{
  "formula": "TlReSe",
  "functional": "PBE",
  "state": "relaxed",
  "formation_energy_uncorrected_mev_per_atom": 223,
  "sg": "Pmmn (59)",
  "de_polymorph_mev_per_atom": 141,
  "magnetic_moment_mub_per_atom": 0.000,
  "lattice_angstrom": [[3.126, 0.000, 0.000], [0.000, 4.726, 0.000], [0.000, 0.000, 8.805]],
  "species": ["Tl", "Tl", "Re", "Re", "Se", "Se"],
  "frac_coords": [[0.250, 0.250, 0.128], [0.750, 0.750, 0.872], [0.250, 0.750, 0.542], [0.750, 0.250, 0.458], [0.250, 0.250, 0.674], [0.750, 0.750, 0.326]]
}

Record 13
{
  "formula": "LaTi2TcAg",
  "functional": "PBE",
  "state": "relaxed",
  "sg": "P4/mmm (123)",
  "magnetic_moment_mub_per_atom": 0.123,
  "delta_e_f_ev_per_atom": 0.2412,
  "lattice_angstrom": [[4.668, 0.000, 0.000], [0.000, 4.668, 0.000], [0.000, 0.000, 5.392]],
  "species": ["La", "Ti", "Ti", "Tc", "Ag"],
  "frac_coords": [[0.000, 0.000, 0.000], [0.000, 0.500, 0.500], [0.500, 0.000, 0.500], [0.500, 0.500, 0.500], [0.500, 0.500, 0.000]]
}

Record 14
{
  "formula": "Li3Al2Ga2Au4",
  "functional": "PBE",
  "state": "relaxed",
  "sg": "P-3m1 (164)",
  "magnetic_moment_mub_per_atom": 0.000,
  "delta_e_f_ev_per_atom": -0.4748,
  "lattice_angstrom": [[4.518, 0.000, 0.000], [-2.259, 3.912, 0.000], [0.000, 0.000, 10.473]],
  "species": ["Li", "Li", "Li", "Al", "Al", "Ga", "Ga", "Au", "Au", "Au", "Au"],
  "frac_coords": [[0.000, 0.000, 0.000], [0.000, 0.000, 0.271], [0.000, 0.000, 0.729], [0.333, 0.667, 0.585], [0.667, 0.333, 0.415], [0.333, 0.667, 0.093], [0.667, 0.333, 0.907], [0.333, 0.667, 0.346], [0.333, 0.667, 0.840], [0.667, 0.333, 0.160], [0.667, 0.333, 0.654]]
}

Record 15
{
  "formula": "LuCuBiRh",
  "functional": "PBE",
  "state": "relaxed",
  "sg": "F-43m (216)",
  "magnetic_moment_mub_per_atom": 0.000,
  "delta_e_f_ev_per_atom": -0.3825,
  "lattice_angstrom": [[0.000, 3.377, 3.377], [3.377, 0.000, 3.377], [3.377, 3.377, 0.000]],
  "species": ["Lu", "Cu", "Bi", "Rh"],
  "frac_coords": [[0.000, 0.000, 0.000], [0.250, 0.250, 0.250], [0.500, 0.500, 0.500], [0.750, 0.750, 0.750]]
}

Record 16
{
  "formula": "PrSi3Rh3",
  "functional": "PBE",
  "state": "relaxed",
  "formation_energy_uncorrected_mev_per_atom": -685,
  "sg": "P6_3/m (176)",
  "de_polymorph_mev_per_atom": 0,
  "magnetic_moment_mub_per_atom": 0.000,
  "lattice_angstrom": [[8.607, 0.000, 0.000], [-4.304, 7.454, 0.000], [0.000, 0.000, 4.129]],
  "species": ["Pr", "Pr", "Si", "Si", "Si", "Si", "Si", "Si", "Rh", "Rh", "Rh", "Rh", "Rh", "Rh"],
  "frac_coords": [[0.333, 0.667, 0.250], [0.667, 0.333, 0.750], [0.055, 0.427, 0.750], [0.372, 0.945, 0.750], [0.427, 0.372, 0.250], [0.573, 0.628, 0.750], [0.628, 0.055, 0.250], [0.945, 0.573, 0.250], [0.067, 0.719, 0.750], [0.281, 0.349, 0.750], [0.349, 0.067, 0.250], [0.651, 0.933, 0.750], [0.719, 0.651, 0.250], [0.933, 0.281, 0.250]]
}

Record 17
{
  "formula": "Y2CoNi",
  "functional": "PBE",
  "state": "relaxed",
  "sg": "F-43m (216)",
  "magnetic_moment_mub_per_atom": 0.274,
  "delta_e_f_ev_per_atom": 0.2057,
  "lattice_angstrom": [[0.000, 3.311, 3.311], [3.311, 0.000, 3.311], [3.311, 3.311, 0.000]],
  "species": ["Y", "Y", "Co", "Ni"],
  "frac_coords": [[0.000, 0.000, 0.000], [0.250, 0.250, 0.250], [0.500, 0.500, 0.500], [0.750, 0.750, 0.750]]
}

Record 18
{
  "formula": "TlCoAg2",
  "functional": "PBE",
  "state": "relaxed",
  "sg": "Fm-3m (225)",
  "de_polymorph_mev_per_atom": 148,
  "magnetic_moment_mub_per_atom": 0.411,
  "delta_e_f_ev_per_atom": 0.5064,
  "lattice_angstrom": [[0.000, 3.304, 3.304], [3.304, 0.000, 3.304], [3.304, 3.304, 0.000]],
  "species": ["Tl", "Co", "Ag", "Ag"],
  "frac_coords": [[0.000, 0.000, 0.000], [0.500, 0.500, 0.500], [0.250, 0.250, 0.250], [0.750, 0.750, 0.750]]
}

Record 19
{
  "formula": "TlAg",
  "functional": "PBE",
  "state": "relaxed",
  "sg": "P2_12_12_1 (19)",
  "magnetic_moment_mub_per_atom": 0.000,
  "delta_e_f_ev_per_atom": 0.1237,
  "lattice_angstrom": [[6.590, 0.000, 0.000], [0.000, 6.738, 0.000], [0.000, 0.000, 8.861]],
  "species": ["Tl", "Tl", "Tl", "Tl", "Tl", "Tl", "Tl", "Tl", "Ag", "Ag", "Ag", "Ag", "Ag", "Ag", "Ag", "Ag"],
  "frac_coords": [[0.096, 0.241, 0.186], [0.180, 0.329, 0.561], [0.320, 0.671, 0.061], [0.404, 0.759, 0.686], [0.596, 0.259, 0.814], [0.680, 0.171, 0.439], [0.820, 0.829, 0.939], [0.904, 0.741, 0.314], [0.024, 0.438, 0.871], [0.213, 0.058, 0.888], [0.287, 0.942, 0.388], [0.476, 0.562, 0.371], [0.524, 0.062, 0.129], [0.713, 0.442, 0.112], [0.787, 0.558, 0.612], [0.976, 0.938, 0.629]]
}